1.
# Mg4Pa3CuN8

A geometry-optimized Mg4Pa3CuN8 structure (PBE, the Alexandria database).

Cell and atoms, written as POSCAR:
```
Mg4Pa3CuN8
1.0
5.615 -3.381 0.000
5.615 3.381 0.000
-3.500 0.000 5.516
Mg Pa Cu N
4 3 1 8
Cartesian
0.000 0.000 0.000
1.058 1.691 2.758
1.058 -1.691 2.758
5.615 0.000 0.000
-1.750 0.000 2.758
2.808 1.691 0.000
2.808 -1.691 0.000
3.866 0.000 2.758
4.666 1.794 1.326
1.904 0.000 1.238
3.065 1.794 4.189
0.184 0.000 4.122
7.547 0.000 1.394
4.666 -1.794 1.326
5.828 0.000 4.278
3.065 -1.794 4.189
```



2.
# PrMgCuN2

A geometry-optimized PrMgCuN2 structure (PBE, the Alexandria database).

Cell and atoms, written as POSCAR:
```
PrMgCuN2
1.0
5.761 0.000 0.000
0.000 4.135 0.000
-1.260 0.000 6.061
Pr Mg Cu N
2 2 2 4
Cartesian
-0.315 1.002 1.515
-0.945 3.133 4.545
1.935 1.978 4.545
2.565 2.157 1.515
2.880 0.000 0.000
2.250 0.000 3.030
0.234 1.260 5.805
0.865 2.875 2.775
3.636 1.260 3.286
4.266 2.875 0.255
```



Table of VASP energy (eV/cell), in record order: -121.611, -60.370